# 1
Entry from OQMD: PmCoBr after structural relaxation (PBE).

## Properties
The symmetry is C2/m. The crystal system is monoclinic. The theoretical density is 5858 kg/m3. Its uncorrected energy is -5.4831 eV per atom.

Lattice parameters (Å, degrees): 3.996 3.996 11.872 99.93 99.93 60.00
Positions (direct):
Br 0.719 0.719 0.665
Br 0.281 0.281 0.335
Pm 0.556 0.556 0.165
Pm 0.444 0.444 0.835
Co 0.835 0.835 0.004
Co 0.165 0.165 0.996

---

# 2
Entry from OQMD: TbErTeC after structural relaxation (PBE).

## Properties
The symmetry is P-3m1. The crystal system is trigonal. The theoretical density is 8728 kg/m3. Its uncorrected energy is -6.2623 eV per atom.

Lattice parameters (Å, degrees): 3.824 3.824 13.993 90.00 90.00 120.00
Positions (direct):
C 0.000 0.000 0.500
C 0.000 0.000 0.000
Er 0.667 0.333 0.592
Er 0.333 0.667 0.408
Tb 0.667 0.333 0.905
Tb 0.333 0.667 0.095
Te 0.333 0.667 0.746
Te 0.667 0.333 0.254

---

# 3
Entry from OQMD: GdHoB2Ir2O2 after structural relaxation (PBE).

## Properties
The symmetry is P4mm. The crystal system is tetragonal. The theoretical density is 11908 kg/m3. Its uncorrected energy is -7.9161 eV per atom.

Lattice parameters (Å, degrees): 3.824 3.824 7.249 90.00 90.00 90.00
Positions (direct):
Gd 0.000 0.000 0.816
B 0.000 0.000 0.346
B 0.500 0.500 0.654
Ho 0.500 0.500 0.186
Ir 0.500 0.000 0.498
Ir 0.000 0.500 0.498
O 0.500 0.500 0.865
O 0.000 0.000 0.136

---

# 4
Entry from OQMD: AgGeSO after structural relaxation (PBE).

## Properties
The symmetry is P2_12_12_1. The crystal system is orthorhombic. The theoretical density is 4260 kg/m3. The calculation puts the energy above the most stable polymorph in this dataset at 0 meV per atom.

Lattice parameters (Å, degrees): 5.461 7.988 8.170 90.00 90.00 90.00
Positions (direct):
Ge 0.637 0.298 0.889
Ge 0.137 0.202 0.111
Ge 0.863 0.702 0.389
Ge 0.363 0.798 0.611
Ag 0.748 0.779 0.970
Ag 0.752 0.221 0.470
Ag 0.248 0.721 0.030
Ag 0.252 0.279 0.530
S 0.487 0.596 0.812
S 0.013 0.404 0.312
S 0.987 0.904 0.188
S 0.513 0.096 0.688
O 0.541 0.739 0.432
O 0.959 0.261 0.932
O 0.459 0.239 0.068
O 0.041 0.761 0.568

---

Question: Look up the theoretical density of the second one.
Answer: 8728 kg/m3

---

Question: theoretical density of number 2 (TbErTeC)?
Answer: 8728 kg/m3

---

Question: Among the records above, which one has the highest theoretical density?
Answer: GdHoB2Ir2O2

---

Question: Look up the theoretical density of the fourth one.
Answer: 4260 kg/m3